No. 1
Pu6GeRu3: relaxed, PBE-GGA.

Summary:
Size of the total moment: 20.272 μB/cell
Final energy: -11.84 eV per atom
DOS(E_F): 78.479 states/eV/cell
ρ: 14.41 g cm⁻³

```
data_Pu6GeRu3
_chemical_formula_sum 'Pu12 Ge2 Ru6'
_cell_length_a 7.865
_cell_length_b 6.363
_cell_length_c 10.423
_cell_angle_alpha 90.00
_cell_angle_beta 125.65
_cell_angle_gamma 90.00
_space_group_name_H-M_alt 'P 1 21/c 1'
_space_group_IT_number 14
loop_
_space_group_symop_operation_xyz
'x,y,z'
'-x,-y,-z'
'-x,y+1/2,-z+1/2'
'x,-y+1/2,z+1/2'
loop_
_atom_site_label
_atom_site_type_symbol
_atom_site_fract_x
_atom_site_fract_y
_atom_site_fract_z
_atom_site_occupancy
Pu1 Pu 0.040 0.153 0.215 1
Pu2 Pu 0.290 0.155 0.103 1
Pu3 Pu 0.412 0.630 0.061 1
Ge1 Ge 0.000 0.000 0.500 1
Ru1 Ru 0.226 0.734 0.717 1
Ru2 Ru 0.500 0.000 0.000 1
```

No. 2
Pu3Ge4Ru4: relaxed, PBE-GGA.

Summary:
Size of the total moment: 27.442 μB/cell
Final energy: -9.36 eV per atom
DOS(E_F): 57.716 states/eV/cell
ρ: 11.83 g cm⁻³

```
data_Pu3Ge4Ru4
_chemical_formula_sum 'Pu6 Ge8 Ru8'
_cell_length_a 4.140
_cell_length_b 6.794
_cell_length_c 14.243
_cell_angle_alpha 90.00
_cell_angle_beta 90.00
_cell_angle_gamma 90.00
_space_group_name_H-M_alt 'I m m m'
_space_group_IT_number 71
_space_group_name_Hall '-I 2 2'
loop_
_atom_site_label
_atom_site_type_symbol
_atom_site_fract_x
_atom_site_fract_y
_atom_site_fract_z
_atom_site_occupancy
Pu1 Pu 0.000 0.000 0.000 1
Pu2 Pu 0.000 0.500 0.136 1
Ge1 Ge 0.000 0.000 0.206 1
Ge2 Ge 0.000 0.190 0.500 1
Ru1 Ru 0.000 0.286 0.327 1
```

No. 3
Pu2GeRu2: relaxed, PBE-GGA.

Summary:
Size of the total moment: 38.153 μB/cell
Final energy: -10.69 eV per atom
DOS(E_F): 55.640 states/eV/cell
ρ: 12.78 g cm⁻³

```
data_Pu2GeRu2
_chemical_formula_sum 'Pu8 Ge4 Ru8'
_cell_length_a 9.917
_cell_length_b 5.295
_cell_length_c 7.969
_cell_angle_alpha 90.00
_cell_angle_beta 108.65
_cell_angle_gamma 90.00
_space_group_name_H-M_alt 'C 1 2/c 1'
_space_group_IT_number 15
loop_
_space_group_symop_operation_xyz
'x,y,z'
'-x,-y,-z'
'-x,y,-z+1/2'
'x,-y,z+1/2'
'x+1/2,y+1/2,z'
'-x+1/2,-y+1/2,-z'
'-x+1/2,y+1/2,-z+1/2'
'x+1/2,-y+1/2,z+1/2'
loop_
_atom_site_label
_atom_site_type_symbol
_atom_site_fract_x
_atom_site_fract_y
_atom_site_fract_z
_atom_site_occupancy
Pu1 Pu 0.146 0.151 0.145 1
Ge1 Ge 0.000 0.371 0.750 1
Ru1 Ru 0.133 0.348 0.525 1
```